A plane-wave DFT calculation with PBE-GGA was carried out for In2Pb5Cl12 after structural relaxation.

Geometry as extended XYZ:
```
19
Lattice="-4.373 6.132 -1.661 -4.170 -6.820 3.708 4.413 5.370 8.204" Properties=species:S:1:pos:R:3 pbc="T T T"
In -0.903 1.266 -0.343
In -3.470 4.865 -1.318
Cl -0.620 3.386 4.716
Cl -1.422 4.093 0.949
Cl -6.852 0.933 3.580
Cl -3.510 1.296 5.535
Cl -2.707 0.589 9.301
Cl -1.146 3.906 8.305
Cl -2.984 0.776 1.946
Cl 2.722 3.748 6.670
Cl 1.084 0.779 9.152
Cl -5.214 3.903 1.099
Cl -2.693 6.293 3.928
Cl -1.436 -1.611 6.322
Pb -0.884 1.326 7.224
Pb -3.149 -1.157 4.019
Pb -0.981 5.839 6.231
Pb 2.207 2.685 4.102
Pb -3.246 3.355 3.027
```

ΔE_f (raw): -100.3 kJ/mol of atoms
total magnetization: 0.00 Bohr magnetons per cell


A plane-wave DFT calculation with PBE-GGA was carried out for In2PbCl after structural relaxation.

Geometry as extended XYZ:
```
4
Lattice="-0.237 -3.168 1.812 2.720 -2.435 -0.212 5.157 2.288 8.365" Properties=species:S:1:pos:R:3 pbc="T T T"
Cl 6.728 -1.529 9.277
In 1.852 -0.885 2.386
In 4.178 1.348 6.593
Pb 3.861 -1.618 5.056
```

ΔE_f (raw): -24.4 kJ/mol of atoms
ΔE to the lowest computed polymorph: 68.1 meV per atom
total magnetization: 0.00 Bohr magnetons per cell


A plane-wave DFT calculation with PBE-GGA was carried out for PmInPbCl6 after structural relaxation.

Geometry as extended XYZ:
```
18
Lattice="-6.122 -3.425 2.423 1.365 0.449 -7.281 6.711 -11.613 0.542" Properties=species:S:1:pos:R:3 pbc="T T T"
In 3.355 -5.806 0.271
In 0.000 0.000 0.000
Cl -1.357 -2.837 0.845
Cl 4.142 -11.096 -1.390
Cl 6.574 -9.820 -4.182
Cl -4.620 -4.768 -0.134
Cl 0.649 -5.360 -1.483
Cl 1.305 -9.228 -2.833
Cl -1.472 -6.441 1.627
Cl 3.426 -8.148 -5.943
Cl -2.704 -7.321 -1.985
Cl 3.311 -11.752 -5.161
Cl -2.188 -3.493 -2.926
Cl 4.658 -7.267 -2.331
Pb 1.407 -10.843 -0.405
Pb 0.547 -3.745 -3.911
Pm -1.949 -5.037 -0.676
Pm 3.903 -9.552 -3.640
```

ΔE_f (raw): -153.6 kJ/mol of atoms
total magnetization: 0.00 Bohr magnetons per cell


A plane-wave DFT calculation with PBE-GGA was carried out for PmInPb2Cl8 after structural relaxation.

Geometry as extended XYZ:
```
12
Lattice="-4.040 -4.903 -2.712 2.358 -4.441 4.309 -6.508 2.161 5.790" Properties=species:S:1:pos:R:3 pbc="T T T"
In -3.254 1.081 2.895
Cl -4.042 -1.916 3.128
Cl -4.149 -5.267 4.260
Cl -3.926 -2.523 7.390
Cl -4.265 -4.660 -0.003
Cl -0.686 -2.669 0.226
Cl -7.505 -4.513 7.162
Cl -7.918 -3.447 3.247
Cl -0.273 -3.736 4.141
Pb -2.489 -4.125 2.265
Pb -5.702 -3.058 5.123
Pm 0.000 0.000 0.000
```

ΔE_f (raw): -141.2 kJ/mol of atoms
total magnetization: 0.00 Bohr magnetons per cell


A plane-wave DFT calculation with PBE-GGA was carried out for PrInPbCl6 after structural relaxation.

Geometry as extended XYZ:
```
18
Lattice="-6.719 1.447 2.939 3.135 -6.716 0.968 5.862 4.358 11.255" Properties=species:S:1:pos:R:3 pbc="T T T"
Cl 0.776 -0.262 5.550
Cl 4.416 -3.345 9.138
Cl -1.565 -2.716 4.011
Cl 3.843 1.804 11.151
Cl 7.001 -0.531 10.410
Cl -2.138 2.433 6.024
Cl -2.506 -1.210 7.626
Cl 4.784 0.298 7.535
Cl -4.723 -0.381 4.752
Cl -1.656 1.027 2.610
Cl 3.934 -1.939 12.552
Cl 1.502 -0.650 9.612
Pr -1.969 -0.185 5.096
Pr 4.247 -0.727 10.066
Pb 1.316 -2.906 4.439
Pb 0.962 1.994 10.723
In 0.000 0.000 0.000
In 2.931 2.179 5.628
```

ΔE_f (raw): -152.9 kJ/mol of atoms
total magnetization: 0.00 Bohr magnetons per cell


A plane-wave DFT calculation with PBE-GGA was carried out for PuInPbCl6 after structural relaxation.

Geometry as extended XYZ:
```
18
Lattice="-7.433 0.318 0.430 3.256 -3.460 -5.741 -0.094 -11.367 6.798" Properties=species:S:1:pos:R:3 pbc="T T T"
Cl -5.279 -6.007 -0.713
Cl -2.627 -9.266 0.871
Cl -4.789 -4.001 2.648
Cl -1.644 -5.242 0.615
Cl -2.780 -3.512 -2.412
Cl -2.708 -1.488 0.973
Cl -1.563 -13.021 0.513
Cl 1.889 -12.061 2.164
Cl -6.160 -2.447 -0.678
Cl 0.518 -10.508 -1.161
Cl 1.008 -8.502 2.200
Cl -1.491 -10.997 3.898
Pu -3.893 -3.783 0.072
Pu -0.378 -10.726 1.414
In -0.047 -5.683 3.399
In 0.000 0.000 0.000
Pb -3.940 -9.466 3.471
Pb -0.331 -5.042 -1.985
```

ΔE_f (raw): -137.2 kJ/mol of atoms
total magnetization: 10.00 Bohr magnetons per cell


A plane-wave DFT calculation with PBE-GGA was carried out for Rb2InPbCl5 after structural relaxation.

Geometry as extended XYZ:
```
18
Lattice="-1.010 4.316 0.622 -2.302 -4.101 8.617 14.305 2.616 5.067" Properties=species:S:1:pos:R:3 pbc="T T T"
Cl 0.402 1.609 5.596
Cl 8.061 0.760 7.814
Cl 0.548 -0.157 1.977
Cl 5.398 2.065 10.540
Cl 8.176 0.086 12.674
Cl 12.038 1.100 11.908
Cl 5.899 3.001 4.857
Cl 4.287 -0.027 7.148
Cl 3.245 2.823 1.782
Cl 11.313 3.701 8.789
Pb 5.646 2.531 7.704
Pb -0.858 -0.835 4.403
In 12.750 4.445 5.953
In 3.831 -0.593 10.332
Rb 8.886 1.410 4.638
Rb 3.406 0.236 3.887
Rb 8.763 2.810 10.834
Rb -0.735 0.901 8.661
```

ΔE_f (raw): -136.8 kJ/mol of atoms
total magnetization: 0.00 Bohr magnetons per cell


A plane-wave DFT calculation with PBE-GGA was carried out for RbInPbCl6 after structural relaxation.

Geometry as extended XYZ:
```
18
Lattice="-0.454 -2.599 -6.764 3.594 -3.729 5.088 -11.711 -6.699 3.361" Properties=species:S:1:pos:R:3 pbc="T T T"
Cl -6.133 -5.856 3.894
Cl 0.231 -4.905 -0.795
Cl -2.439 -7.172 -2.209
Cl -8.803 -8.123 2.480
Cl -3.098 -4.731 0.359
Cl -7.740 -8.255 5.921
Cl -4.221 -8.811 4.666
Cl -1.709 -2.106 -1.975
Cl -4.351 -4.217 -2.981
Cl -6.864 -10.921 3.661
Cl -0.832 -4.773 -4.236
Cl -5.474 -8.297 1.326
Pb -7.889 -8.000 -0.293
Pb -0.684 -5.027 1.978
In -6.539 -8.377 3.658
In -2.033 -4.651 -1.973
Rb -5.856 -3.350 1.680
Rb 0.000 0.000 0.000
```

ΔE_f (raw): -129.8 kJ/mol of atoms
total magnetization: 0.00 Bohr magnetons per cell


A plane-wave DFT calculation with PBE-GGA was carried out for RbInPbCl4 after structural relaxation.

Geometry as extended XYZ:
```
7
Lattice="5.683 0.000 0.000 0.000 5.683 0.000 -2.841 -2.841 8.238" Properties=species:S:1:pos:R:3 pbc="T T T"
Cl 2.841 2.841 5.386
Cl 0.000 2.841 0.172
Cl 0.000 0.000 2.996
Cl 2.841 0.000 0.172
Pb 2.841 2.841 8.145
Rb 2.841 2.841 2.166
In 0.000 0.000 5.676
```

ΔE_f (raw): -121.2 kJ/mol of atoms
total magnetization: 0.00 Bohr magnetons per cell


A plane-wave DFT calculation with PBE-GGA was carried out for Rb2In2PbCl6 after structural relaxation.

Geometry as extended XYZ:
```
11
Lattice="-0.993 0.055 7.977 -2.248 -4.849 -4.297 8.620 -1.740 1.086" Properties=species:S:1:pos:R:3 pbc="T T T"
Cl 3.015 -3.204 0.398
Cl -0.316 -4.680 -1.878
Cl 5.695 -1.854 6.644
Cl 2.363 -3.330 4.368
Cl -0.775 -4.655 1.807
Cl 6.154 -1.880 2.959
Rb -0.533 -2.070 3.998
Rb 5.911 -4.464 0.767
In 4.320 -5.162 4.624
In 1.059 -1.373 0.141
Pb 3.813 -0.843 4.531
```

ΔE_f (raw): -124.3 kJ/mol of atoms
total magnetization: 0.00 Bohr magnetons per cell


A plane-wave DFT calculation with PBE-GGA was carried out for InRhPbCl2 after structural relaxation.

Geometry as extended XYZ:
```
5
Lattice="-0.191 -4.839 0.206 0.094 -0.238 -5.495 4.843 -0.188 0.091" Properties=species:S:1:pos:R:3 pbc="T T T"
Rh 0.000 0.000 0.000
Cl -0.096 -2.420 0.103
Cl 2.422 -0.094 0.046
Pb 0.047 -0.119 -2.747
In 2.373 -2.632 -2.599
```

ΔE_f (raw): -17.6 kJ/mol of atoms
total magnetization: 0.00 Bohr magnetons per cell


A plane-wave DFT calculation with PBE-GGA was carried out for InPbSCl after structural relaxation.

Geometry as extended XYZ:
```
8
Lattice="5.100 0.000 0.000 2.550 4.417 0.000 2.550 1.472 11.859" Properties=species:S:1:pos:R:3 pbc="T T T"
Pb 2.550 1.472 7.384
Pb 7.651 4.417 4.474
S 2.550 1.472 4.654
S 7.651 4.417 7.205
In 2.550 1.472 1.659
In 7.651 4.417 10.200
Cl 5.100 2.945 9.607
Cl 5.100 2.945 2.252
```

ΔE_f (raw): -57.4 kJ/mol of atoms
total magnetization: 0.00 Bohr magnetons per cell


- Look up the total magnetization of the ninth one.
  0.00 Bohr magnetons per cell